No. 1
## Dy2Ho6ErSc3 (PBE)

Data for an optimized crystal structure of Dy2Ho6ErSc3.

Values from the calculation:
Energy relative to the elements in eV/atom: 0.043
D(E_F) in states/eV per cell: 18.01

Cell: 6.010 6.010 11.414 Å, 95.03 95.03 119.95°
Sites, in units of the cell vectors:
Ho  0.580  0.914  0.741
Ho  0.247  0.247  0.741
Dy  0.333  0.667  0.000
Ho  0.753  0.753  0.259
Ho  0.420  0.086  0.259
Dy  0.667  0.333  0.000
Ho  0.914  0.580  0.741
Sc  0.833  0.167  0.500
Sc  0.167  0.833  0.500
Ho  0.086  0.420  0.259
Sc  0.500  0.500  0.500
Er  0.000  0.000  0.000


No. 2
## Pm3Al3Ag8 (PBE)

Data for an optimized crystal structure of Pm3Al3Ag8.

Values from the calculation:
Excess energy over the best structure of this formula in the dataset in meV/atom: 37.8
Energy relative to the elements in eV/atom: -0.250
D(E_F) in states/eV per cell: 7.84

Cell: 4.578 8.496 8.496 Å, 72.01 74.37 74.37°
Sites, in units of the cell vectors:
Ag  0.623  0.087  0.667
Ag  0.623  0.667  0.087
Ag  0.840  0.522  0.799
Ag  0.160  0.478  0.201
Pm  0.802  0.198  0.198
Pm  0.500  0.500  0.500
Ag  0.160  0.201  0.478
Ag  0.377  0.333  0.913
Ag  0.840  0.799  0.522
Pm  0.198  0.802  0.802
Al  0.500  0.000  0.000
Al  0.000  0.194  0.806
Ag  0.377  0.913  0.333
Al  0.000  0.806  0.194


No. 3
## SmYTe2 (PBE)

Data for an optimized crystal structure of SmYTe2.

Values from the calculation:
Excess energy over the best structure of this formula in the dataset in meV/atom: 32.2
D(E_F) in states/eV per cell: 4.02
Formation energy from raw total energies in eV per atom: -1.3418

Cell: 4.094 8.274 8.299 Å, 90.00 90.00 119.66°
Sites, in units of the cell vectors:
Y  0.368  0.901  0.231
Y  0.868  0.401  0.985
Sm  0.867  0.399  0.482
Te  0.538  0.570  0.230
Sm  0.367  0.899  0.734
Te  0.038  0.070  0.986
Te  0.531  0.563  0.737
Te  0.031  0.063  0.479


No. 4
## Nb3GaSe (PBE)

Data for an optimized crystal structure of Nb3GaSe.

Values from the calculation:
Excess energy over the best structure of this formula in the dataset in meV/atom: 0.0
D(E_F) in states/eV per cell: 5.21
Formation energy from raw total energies in eV per atom: 0.6326

Cell: 4.747 4.747 4.747 Å, 90.00 90.00 90.00°
Sites, in units of the cell vectors:
Ga  0.500  0.500  0.500
Nb  0.000  0.000  0.500
Nb  0.000  0.500  0.000
Nb  0.500  0.000  0.000
Se  0.000  0.000  0.000